VASP calculation (PBE) on crystalline TaIn4Si at its relaxed geometry.

a = 5.731 Å, b = 5.731 Å, c = 5.731 Å
α = 60.00°, β = 60.00°, γ = 60.00°
Atoms (fractional coordinates):
In: 0.375 0.876 0.375
In: 0.876 0.375 0.375
In: 0.375 0.375 0.375
Si: 0.750 0.750 0.750
Ta: 0.000 0.000 0.000
In: 0.375 0.375 0.876

Computed properties:
Crystal system: cubic
Uncorrected energy in eV per atom: -3.97
Energy relative to the elements, uncorrected in eV/atom: 0.733
Space-group type: F-43m, No. 216

VASP calculation (PBE) on crystalline TaIn2Si at its relaxed geometry.

a = 3.016 Å, b = 4.999 Å, c = 5.268 Å
α = 90.00°, β = 90.00°, γ = 90.00°
Atoms (fractional coordinates):
Si: 0.500 0.000 0.500
Ta: 0.000 0.500 0.500
In: 0.000 0.000 0.000
In: 0.500 0.500 0.000

Computed properties:
Crystal system: orthorhombic
Uncorrected energy in eV per atom: -5.27
Energy relative to the elements, uncorrected in eV/atom: 0.417
Space-group type: Pmmm, No. 47

VASP calculation (PBE) on crystalline TaIn2Si at its relaxed geometry.

a = 3.502 Å, b = 3.502 Å, c = 6.727 Å
α = 90.00°, β = 90.00°, γ = 90.00°
Atoms (fractional coordinates):
Ta: 0.500 0.500 0.690
In: 0.500 0.500 0.261
In: 0.000 0.000 0.981
Si: 0.000 0.000 0.567

Computed properties:
Crystal system: tetragonal
Uncorrected energy in eV per atom: -5.55
Energy relative to the elements, uncorrected in eV/atom: 0.137
Space-group type: P4mm, No. 99

VASP calculation (PBE) on crystalline TaInSi2 at its relaxed geometry.

a = 4.670 Å, b = 4.670 Å, c = 4.670 Å
α = 60.00°, β = 60.00°, γ = 60.00°
Atoms (fractional coordinates):
Si: 0.250 0.250 0.250
Si: 0.000 0.000 0.000
Ta: 0.750 0.750 0.750
In: 0.500 0.500 0.500

Computed properties:
Crystal system: cubic
Uncorrected energy in eV per atom: -5.63
Energy relative to the elements, uncorrected in eV/atom: 0.727
Space-group type: F-43m, No. 216

VASP calculation (PBE) on crystalline TaIn2Si at its relaxed geometry.

a = 5.562 Å, b = 5.562 Å, c = 5.562 Å
α = 142.55°, β = 129.78°, γ = 64.30°
Atoms (fractional coordinates):
Si: 0.524 0.524 0.000
In: 0.262 0.762 0.500
Ta: 0.722 0.222 0.500
In: 0.991 0.991 0.000

Computed properties:
Crystal system: orthorhombic
Uncorrected energy in eV per atom: -5.38
Energy relative to the elements, uncorrected in eV/atom: 0.309
Space-group type: Imm2, No. 44

VASP calculation (PBE) on crystalline TaInSi2 at its relaxed geometry.

a = 5.058 Å, b = 5.058 Å, c = 5.058 Å
α = 138.30°, β = 125.41°, γ = 70.97°
Atoms (fractional coordinates):
Si: 0.506 0.506 0.000
Ta: 0.750 0.250 0.500
Si: 0.994 0.994 0.000
In: 0.250 0.750 0.500

Computed properties:
Crystal system: orthorhombic
Uncorrected energy in eV per atom: -6.11
Energy relative to the elements, uncorrected in eV/atom: 0.253
Space-group type: Immm, No. 71

VASP calculation (PBE) on crystalline TaInSi2 at its relaxed geometry.

a = 5.248 Å, b = 5.248 Å, c = 5.248 Å
α = 142.82°, β = 127.52°, γ = 66.06°
Atoms (fractional coordinates):
Si: 0.772 0.272 0.500
Ta: 0.515 0.515 0.000
Si: 0.976 0.976 0.000
In: 0.237 0.737 0.500

Computed properties:
Crystal system: orthorhombic
Uncorrected energy in eV per atom: -6.09
Energy relative to the elements, uncorrected in eV/atom: 0.265
Space-group type: Imm2, No. 44

VASP calculation (PBE) on crystalline TaIn2Si at its relaxed geometry.

a = 3.811 Å, b = 3.811 Å, c = 5.461 Å
α = 90.00°, β = 90.00°, γ = 90.00°
Atoms (fractional coordinates):
Si: 0.500 0.500 0.250
Ta: 0.500 0.500 0.750
In: 0.000 0.000 0.999
In: 0.000 0.000 0.501

Computed properties:
Crystal system: tetragonal
Uncorrected energy in eV per atom: -5.36
Energy relative to the elements, uncorrected in eV/atom: 0.329
Space-group type: P4/mmm, No. 123